1.
VASP calculation (GGA-PBE) on a relaxed structure of TaPb2Br.

Calculated values
Size of the total moment (Bohr magnetons per cell): 0.56
Distance to the lowest polymorph of the same formula (eV/f.u.): 1.450
Calculated volume (Å³/f.u.): 108.2
Uncorrected formation energy (meV/atom): 439
D(E_F) (states/eV per atom): 0.909

abc: 7.5864 7.5864 4.8550
angles: 71.38 71.38 24.19
Fractional positions:
Pb  0.4393  0.4393  0.5607
Br  0.2500  0.2500  0.2500
Pb  0.0607  0.0607  0.9393
Ta  0.7500  0.7500  0.7500


2.
VASP calculation (GGA-PBE) on a relaxed structure of TaPb3Br.

Calculated values
Size of the total moment (Bohr magnetons per cell): 0.00
Distance to the lowest polymorph of the same formula (eV/f.u.): 0.000
Calculated volume (Å³/f.u.): 170.1
Uncorrected formation energy (meV/atom): 297
D(E_F) (states/eV per atom): 0.721

abc: 5.5405 5.5405 5.5405
angles: 90.00 90.00 90.00
Fractional positions:
Pb  0.0000  0.0000  0.5000
Ta  0.0000  0.0000  0.0000
Pb  0.0000  0.5000  0.0000
Pb  0.5000  0.0000  0.0000
Br  0.5000  0.5000  0.5000


3.
VASP calculation (GGA-PBE) on a relaxed structure of TaPbBr.

Calculated values
Size of the total moment (Bohr magnetons per cell): 0.41
Distance to the lowest polymorph of the same formula (eV/f.u.): 2.662
Calculated volume (Å³/f.u.): 80.1
Uncorrected formation energy (meV/atom): 867
D(E_F) (states/eV per atom): 1.058

abc: 4.8395 4.8395 4.8395
angles: 60.00 60.00 60.00
Fractional positions:
Pb  0.5000  0.5000  0.5000
Ta  0.7500  0.7500  0.7500
Br  0.0000  0.0000  0.0000


4.
VASP calculation (GGA-PBE) on a relaxed structure of Ta2PbBr.

Calculated values
Size of the total moment (Bohr magnetons per cell): 0.00
Distance to the lowest polymorph of the same formula (eV/f.u.): 0.000
Calculated volume (Å³/f.u.): 96.1
Uncorrected formation energy (meV/atom): 116
D(E_F) (states/eV per atom): 0.547

abc: 3.1320 3.1320 10.4633
angles: 90.00 90.00 110.63
Fractional positions:
Pb  0.5000  0.5000  0.7951
Ta  0.0000  0.0000  0.0363
Ta  0.5000  0.5000  0.2359
Br  0.0000  0.0000  0.4328


5.
VASP calculation (GGA-PBE) on a relaxed structure of Ta3PbBr.

Calculated values
Size of the total moment (Bohr magnetons per cell): 0.00
Distance to the lowest polymorph of the same formula (eV/f.u.): 5.653
Calculated volume (Å³/f.u.): 142.4
Uncorrected formation energy (meV/atom): 2572
D(E_F) (states/eV per atom): 2.585

abc: 5.2223 5.2223 5.2223
angles: 90.00 90.00 90.00
Fractional positions:
Ta  0.0000  0.5000  0.0000
Br  0.5000  0.5000  0.5000
Pb  0.0000  0.0000  0.0000
Ta  0.0000  0.0000  0.5000
Ta  0.5000  0.0000  0.0000


6.
VASP calculation (GGA-PBE) on a relaxed structure of Ta4PbBr.

Calculated values
Size of the total moment (Bohr magnetons per cell): 0.00
Calculated volume (Å³/f.u.): 127.7
Uncorrected formation energy (meV/atom): 800
D(E_F) (states/eV per atom): 0.887

abc: 5.6520 5.6520 5.6520
angles: 60.00 60.00 60.00
Fractional positions:
Ta  0.6252  0.6252  0.1245
Ta  0.1245  0.6252  0.6252
Ta  0.6252  0.1245  0.6252
Br  0.2500  0.2500  0.2500
Ta  0.6252  0.6252  0.6252
Pb  0.0000  0.0000  0.0000


> Which formula does entry 3 have?

TaPbBr


> calculated volume of number 2 (TaPb3Br)?

170.1 Å³/f.u.


> Look up the size of the total moment of the first one.

0.56 Bohr magnetons per cell


Repeat the fifth record exactly.
VASP calculation (GGA-PBE) on a relaxed structure of Ta3PbBr.

Calculated values
Size of the total moment (Bohr magnetons per cell): 0.00
Distance to the lowest polymorph of the same formula (eV/f.u.): 5.653
Calculated volume (Å³/f.u.): 142.4
Uncorrected formation energy (meV/atom): 2572
D(E_F) (states/eV per atom): 2.585

abc: 5.2223 5.2223 5.2223
angles: 90.00 90.00 90.00
Fractional positions:
Ta  0.0000  0.5000  0.0000
Br  0.5000  0.5000  0.5000
Pb  0.0000  0.0000  0.0000
Ta  0.0000  0.0000  0.5000
Ta  0.5000  0.0000  0.0000